Arrangement a

The following is a DFT calculation (PBE-GGA) of a relaxed PtPbBr2 crystal.

Values from the calculation:
Crystal system = tetragonal

Unit cell a=4.090 b=4.090 c=7.316 alpha=90.00 beta=90.00 gamma=90.00
Element x y z (fractional)
Pb (0.000, 0.000, 0.558)
Br (0.000, 0.000, 0.939)
Br (0.500, 0.500, 0.334)
Pt (0.500, 0.500, 0.670)

---

Arrangement b

The following is a DFT calculation (PBE-GGA) of a relaxed PtPbBr2 crystal.

Values from the calculation:
Crystal system = tetragonal

Unit cell a=5.139 b=5.139 c=9.444 alpha=74.21 beta=74.21 gamma=90.00
Element x y z (fractional)
Pb (0.000, 0.000, 0.000)
Pb (0.750, 0.250, 0.500)
Br (0.575, 0.125, 0.250)
Br (0.175, 0.625, 0.250)
Br (0.375, 0.425, 0.750)
Br (0.875, 0.825, 0.750)
Pt (0.500, 0.500, 0.000)
Pt (0.250, 0.750, 0.500)

---

Arrangement c

The following is a DFT calculation (PBE-GGA) of a relaxed PtPbBr2 crystal.

Values from the calculation:
Crystal system = orthorhombic

Unit cell a=6.022 b=6.022 c=5.441 alpha=63.16 beta=63.16 gamma=36.95
Element x y z (fractional)
Pb (0.750, 0.750, 0.750)
Br (0.930, 0.930, 0.070)
Br (0.570, 0.570, 0.430)
Pt (0.250, 0.250, 0.250)

---

Arrangement d

The following is a DFT calculation (PBE-GGA) of a relaxed PtPbBr2 crystal.

Values from the calculation:
Crystal system = tetragonal

Unit cell a=4.898 b=4.898 c=4.054 alpha=90.00 beta=90.00 gamma=90.00
Element x y z (fractional)
Pb (0.500, 0.000, 0.500)
Br (0.000, 0.000, 0.000)
Br (0.500, 0.500, 0.000)
Pt (0.000, 0.500, 0.500)

---

Which structure is most stable? arrangement a, by 45 meV/atom over the runner-up.